1:
Compound: SrVCr2
Source: Alexandria via LeMat-Bulk
Functional: PBE
Structure: optimized geometry

Cell and atoms, written as POSCAR:
```
SrVCr2
1.0
-2.9299 0.5493 -4.0231
-1.3114 -4.8233 0.2965
-8.3272 -0.1550 2.9273
Cr V Sr
4 2 2
direct
0.3750 0.6250 0.2500 Cr
0.3750 0.1250 0.2500 Cr
0.8750 0.6250 0.7500 Cr
0.3750 0.6250 0.7500 Cr
0.2500 0.7500 0.5000 V
0.5000 0.5000 0.0000 V
0.7500 0.2500 0.5000 Sr
0.0000 0.0000 0.0000 Sr
```

Fermi-level density of states, states/eV per cell: 7.7
Total magnetization, μB per atom: 0.9515
Space-group type: I4_1/amd (141)

***

2:
Compound: SrVCr2
Source: Alexandria via LeMat-Bulk
Functional: PBE
Structure: optimized geometry

Cell and atoms, written as POSCAR:
```
SrVCr2
1.0
0.0000 3.4214 3.4214
3.4214 0.0000 3.4214
3.4214 3.4214 0.0000
Cr V Sr
2 1 1
direct
0.2500 0.2500 0.2500 Cr
0.7500 0.7500 0.7500 Cr
0.0000 0.0000 0.0000 V
0.5000 0.5000 0.5000 Sr
```

Fermi-level density of states, states/eV per cell: 3.5
Total magnetization, μB per atom: 1.1071
Space-group type: Fm-3m (225)

***

Ordering by calculated energy gives the sequence 2, 1, with the first entry being the most stable.

***

1:
Compound: Sr2VCr
Source: Alexandria via LeMat-Bulk
Functional: PBE
Structure: optimized geometry

Cell and atoms, written as POSCAR:
```
Sr2VCr
1.0
-2.3026 1.7231 8.3394
-8.1805 -2.8471 -1.6705
-4.3186 -3.7501 4.2480
Cr Sr V
2 4 2
direct
0.0000 0.0000 0.0000 Cr
0.7500 0.2500 0.5000 Cr
0.8750 0.8788 0.7500 Sr
0.3750 0.3712 0.7500 Sr
0.6288 0.1250 0.2500 Sr
0.1212 0.6250 0.2500 Sr
0.2500 0.7500 0.5000 V
0.5000 0.5000 0.0000 V
```

Fermi-level density of states, states/eV per cell: 14.3
Total magnetization, μB per atom: 2.2543
Space-group type: I-42d (122)

***

2:
Compound: Sr2VCr
Source: Alexandria via LeMat-Bulk
Functional: PBE
Structure: optimized geometry

Cell and atoms, written as POSCAR:
```
Sr2VCr
1.0
-3.0676 -4.7704 -0.0077
-3.7345 -0.9768 4.1552
-5.5637 0.2080 -1.0808
Sr Cr V
2 1 1
direct
0.7500 0.7500 0.7500 Sr
0.2500 0.2500 0.2500 Sr
0.5000 0.5000 0.5000 Cr
0.0000 0.0000 0.0000 V
```

Fermi-level density of states, states/eV per cell: 3.6
Total magnetization, μB per atom: 2.3121
Space-group type: Fm-3m (225)

***

Ordering by calculated energy gives the sequence 2, 1, with the first entry being the most stable.

***

1:
Compound: SrCrW2
Source: Alexandria via LeMat-Bulk
Functional: PBE
Structure: optimized geometry

Cell and atoms, written as POSCAR:
```
SrCrW2
1.0
2.8247 0.0018 0.0000
-0.9336 2.6659 0.0000
0.0000 0.0000 9.6678
Sr W Cr
1 2 1
direct
0.5000 0.5000 0.7418 Sr
0.0000 0.0000 0.0368 W
0.5000 0.5000 0.2618 W
0.0000 0.0000 0.4596 Cr
```

Fermi-level density of states, states/eV per cell: 3.4
Total magnetization, μB per atom: 0.0002
Space-group type: Cmm2 (35)

***

2:
Compound: SrCrW2
Source: Alexandria via LeMat-Bulk
Functional: PBE
Structure: optimized geometry

Cell and atoms, written as POSCAR:
```
SrCrW2
1.0
0.0000 3.2661 3.2661
3.2661 0.0000 3.2661
3.2661 3.2661 0.0000
W Sr Cr
2 1 1
direct
0.2500 0.2500 0.2500 W
0.7500 0.7500 0.7500 W
0.5000 0.5000 0.5000 Sr
0.0000 0.0000 0.0000 Cr
```

Fermi-level density of states, states/eV per cell: 5.5
Total magnetization, μB per atom: 0.0001
Space-group type: Fm-3m (225)

***

Ordering by calculated energy gives the sequence 1, 2, with the first entry being the most stable.